Entry from Alexandria via LeMat-Bulk: a relaxed structure of ScSiAu (PBEsol).

Cell and atoms, written as POSCAR:
```
ScSiAu
1.0
-0.947 -0.811 4.017
-2.197 -1.825 -3.088
4.318 -5.158 -0.023
Au Sc Si
2 2 2
Direct
0.667 0.333 0.217
0.667 0.333 0.783
0.333 0.667 0.500
0.333 0.667 0.000
0.000 0.000 0.708
0.000 0.000 0.292
```

Results
Raw formation energy: -2.5 eV/f.u.
DOS(E_F): 0.18 states/eV/atom
Crystal system: hexagonal

---

Entry from Alexandria via LeMat-Bulk: a relaxed structure of ScSi3Au (PBEsol).

Cell and atoms, written as POSCAR:
```
ScSi3Au
1.0
-0.343 3.420 3.483
-2.536 -3.109 2.803
4.171 -1.608 1.991
Au Si Sc
1 3 1
Direct
0.500 0.500 0.500
0.000 0.000 0.500
0.500 0.000 0.000
0.000 0.500 0.000
0.000 0.000 0.000
```

Results
Raw formation energy: 5.7 eV/f.u.
DOS(E_F): 0.92 states/eV/atom
Crystal system: cubic

---

Entry from Alexandria via LeMat-Bulk: a relaxed structure of Sc2SnAu2 (PBEsol).

Cell and atoms, written as POSCAR:
```
Sc2SnAu2
1.0
3.472 0.000 0.000
0.000 7.542 0.000
0.000 0.000 7.542
Sc Au Sn
4 4 2
Direct
0.500 0.832 0.332
0.500 0.668 0.832
0.500 0.168 0.668
0.500 0.332 0.168
0.000 0.370 0.870
0.000 0.130 0.370
0.000 0.870 0.630
0.000 0.630 0.130
0.000 0.500 0.500
0.000 0.000 0.000
```

Results
DOS(E_F): 0.43 states/eV/atom
E above lowest polymorph: 0.020 eV/atom
Crystal system: tetragonal
ΔH_f (0 K): -0.8018 eV per atom

---

Entry from Alexandria via LeMat-Bulk: a relaxed structure of Sc2SnAu2 (PBEsol).

Cell and atoms, written as POSCAR:
```
Sc2SnAu2
1.0
-1.015 -6.860 -0.842
7.324 -0.923 -1.306
1.172 -1.072 7.326
Sc Au Sn
8 8 4
Direct
0.500 0.352 0.648
0.500 0.812 0.812
0.000 0.688 0.312
0.000 0.852 0.852
0.500 0.188 0.188
0.500 0.648 0.352
0.000 0.312 0.688
0.000 0.148 0.148
0.290 0.870 0.130
0.790 0.370 0.370
0.790 0.630 0.630
0.710 0.130 0.870
0.710 0.870 0.130
0.210 0.630 0.630
0.210 0.370 0.370
0.290 0.130 0.870
0.750 0.000 0.500
0.750 0.500 0.000
0.250 0.000 0.500
0.250 0.500 0.000
```

Results
DOS(E_F): 0.36 states/eV/atom
E above lowest polymorph: 0.000 eV/atom
Crystal system: tetragonal
ΔH_f (0 K): -0.8219 eV per atom

---

Entry from Alexandria via LeMat-Bulk: a relaxed structure of ScSn2Au2 (PBEsol).

Cell and atoms, written as POSCAR:
```
ScSn2Au2
1.0
4.214 0.000 0.000
0.000 4.214 0.000
-2.107 -2.107 6.236
Sn Sc Au
2 1 2
Direct
0.750 0.250 0.500
0.250 0.750 0.500
0.000 0.000 0.000
0.603 0.603 0.207
0.397 0.397 0.793
```

Results
DOS(E_F): 0.31 states/eV/atom
Crystal system: tetragonal
ΔH_f (0 K): -0.2393 eV per atom

---

Entry from Alexandria via LeMat-Bulk: a relaxed structure of SrSc3Au (PBEsol).

Cell and atoms, written as POSCAR:
```
SrSc3Au
1.0
4.920 0.000 0.000
0.000 4.920 0.000
0.000 0.000 4.920
Au Sc Sr
1 3 1
Direct
0.500 0.500 0.500
0.000 0.000 0.500
0.500 0.000 0.000
0.000 0.500 0.000
0.000 0.000 0.000
```

Results
DOS(E_F): 0.81 states/eV/atom
Crystal system: cubic
ΔH_f (0 K): 1.2695 eV per atom

---

Entry from Alexandria via LeMat-Bulk: a relaxed structure of SrSc2Au (PBEsol).

Cell and atoms, written as POSCAR:
```
SrSc2Au
1.0
-0.398 2.975 1.983
-4.518 -0.163 -0.661
-0.423 -5.032 4.127
Sr Sc Au
1 2 1
Direct
0.500 0.500 0.000
0.176 0.000 0.304
0.824 0.000 0.696
0.000 0.500 0.500
```

Results
DOS(E_F): 1.35 states/eV/atom
Crystal system: monoclinic
ΔH_f (0 K): -0.0894 eV per atom

---

Entry from Alexandria via LeMat-Bulk: a relaxed structure of Sr2ScWAu (PBEsol).

Cell and atoms, written as POSCAR:
```
Sr2ScWAu
1.0
4.962 0.000 0.000
0.000 5.735 0.000
0.000 0.000 5.735
Sr Au Sc W
2 1 1 1
Direct
0.000 0.000 0.500
0.000 0.500 0.000
0.000 0.000 0.000
0.500 0.500 0.500
0.500 0.000 0.000
```

Results
DOS(E_F): 1.33 states/eV/atom
Crystal system: tetragonal
ΔH_f (0 K): 0.9909 eV per atom

---

Entry from Alexandria via LeMat-Bulk: a relaxed structure of ScTaAu2 (PBEsol).

Cell and atoms, written as POSCAR:
```
ScTaAu2
1.0
3.027 0.000 0.000
0.000 3.027 0.000
0.000 0.000 7.887
Au Ta Sc
2 1 1
Direct
0.500 0.500 0.249
0.000 0.000 0.997
0.500 0.500 0.761
0.000 0.000 0.493
```

Results
DOS(E_F): 0.48 states/eV/atom
E above lowest polymorph: 0.045 eV/atom
Crystal system: tetragonal
ΔH_f (0 K): -0.2577 eV per atom

---

Entry from Alexandria via LeMat-Bulk: a relaxed structure of ScTaAu2 (PBEsol).

Cell and atoms, written as POSCAR:
```
ScTaAu2
1.0
4.666 0.000 0.000
2.333 4.041 0.000
2.333 1.347 3.810
Au Ta Sc
2 1 1
Direct
0.250 0.250 0.250
0.750 0.750 0.750
0.500 0.500 0.500
0.000 0.000 0.000
```

Results
DOS(E_F): 1.05 states/eV/atom
E above lowest polymorph: 0.046 eV/atom
Crystal system: cubic
ΔH_f (0 K): -0.2564 eV per atom

---

Entry from Alexandria via LeMat-Bulk: a relaxed structure of ScTaAu2 (PBEsol).

Cell and atoms, written as POSCAR:
```
ScTaAu2
1.0
2.981 0.000 0.000
0.000 4.897 0.000
0.000 0.000 4.897
Au Sc Ta
2 1 1
Direct
0.000 0.000 0.500
0.000 0.500 0.000
0.500 0.500 0.500
0.500 0.000 0.000
```

Results
DOS(E_F): 1.14 states/eV/atom
E above lowest polymorph: 0.000 eV/atom
Crystal system: tetragonal
ΔH_f (0 K): -0.3028 eV per atom

---

Entry from Alexandria via LeMat-Bulk: a relaxed structure of ScTc2Au (PBEsol).

Cell and atoms, written as POSCAR:
```
ScTc2Au
1.0
-1.170 1.985 1.692
-1.105 -3.058 2.825
4.695 0.626 2.514
Au Tc Sc
1 2 1
Direct
0.500 0.500 0.000
0.000 0.000 0.288
0.000 0.000 0.712
0.500 0.500 0.500
```

Results
DOS(E_F): 1.00 states/eV/atom
E above lowest polymorph: 0.242 eV/atom
Crystal system: orthorhombic
ΔH_f (0 K): 0.1692 eV per atom